Record 1
This record from Alexandria via LeMat-Bulk describes a geometry-optimized La2PmSbN4 structure. The functional is PBE-GGA.

a b c (Å): 3.715 6.339 12.656
angles (deg): 90.00 90.00 107.04
Fractional positions:
Sb1 0.156 0.312 0.250
La1 0.370 0.740 0.963
N1 0.000 0.000 0.000
Pm1 0.890 0.780 0.250
N2 0.283 0.566 0.137
N3 0.563 0.126 0.250
Pm2 0.110 0.220 0.750
La2 0.630 0.260 0.463
Sb2 0.844 0.688 0.750
N4 0.437 0.874 0.750
N5 0.717 0.434 0.637
N6 0.283 0.566 0.363
La3 0.630 0.260 0.037
La4 0.370 0.740 0.537
N7 0.000 0.000 0.500
N8 0.717 0.434 0.863

Calculated values
SG = Cmcm (63)

***

Record 2
This record from Alexandria via LeMat-Bulk describes a geometry-optimized La2PmSiN4 structure. The functional is PBE-GGA.

a b c (Å): 3.497 6.112 12.476
angles (deg): 90.00 90.00 106.62
Fractional positions:
Si1 0.183 0.366 0.250
N1 0.279 0.558 0.142
La1 0.365 0.731 0.544
Pm1 0.096 0.193 0.750
N2 0.721 0.442 0.858
N3 0.000 0.000 0.500
Pm2 0.904 0.807 0.250
La2 0.635 0.269 0.456
N4 0.000 0.000 0.000
N5 0.402 0.804 0.750
N6 0.721 0.442 0.642
Si2 0.817 0.634 0.750
La3 0.635 0.269 0.044
N7 0.279 0.558 0.358
N8 0.598 0.196 0.250
La4 0.365 0.731 0.956

Calculated values
SG = Cmcm (63)

***

Record 3
This record from Alexandria via LeMat-Bulk describes a geometry-optimized La2PmSiN structure. The functional is PBE-GGA.

a b c (Å): 3.885 8.671 7.597
angles (deg): 90.00 90.00 102.95
Fractional positions:
Pm1 0.489 0.979 0.250
Si1 0.313 0.626 0.250
Pm2 0.511 0.021 0.750
La1 0.854 0.708 0.529
La2 0.854 0.708 0.971
La3 0.146 0.292 0.029
Si2 0.687 0.374 0.750
N1 0.000 0.000 0.000
La4 0.146 0.292 0.471
N2 0.000 0.000 0.500

Calculated values
SG = Cmcm (63)

***

no.,uncorrected formation energy (eV per formula unit),total magnetic moment (μB per formula unit),E_tot (eV per atom)
1,-5.14,0.0,-7.15
2,-8.74,0.0,-7.76
3,-3.49,0.0,-6.37